Entry 1:
5
Lattice="4.769 0.000 0.000 0.000 4.769 0.000 0.000 0.000 4.769" Properties=species:S:1:pos:R:3 comment="PBE-GGA BaFe3Re, relaxed" sg="Pm-3m (221)" formation_enthalpy_0k_ev_per_atom=1.013 de_polymorph_ev_per_atom=0.0000 pbc="T T T"
Ba 0.000 0.000 0.000
Fe 0.000 2.384 2.384
Fe 2.384 0.000 2.384
Fe 2.384 2.384 0.000
Re 2.384 2.384 2.384

***

Entry 2:
5
Lattice="4.528 0.000 0.000 0.000 4.528 0.000 0.000 0.000 4.528" Properties=species:S:1:pos:R:3 comment="PBE-GGA BaFe3Re, relaxed" sg="Pm-3m (221)" formation_enthalpy_0k_ev_per_atom=3.249 de_polymorph_ev_per_atom=2.2363 pbc="T T T"
Ba 0.000 0.000 0.000
Fe 0.000 0.000 2.264
Fe 0.000 2.264 0.000
Fe 2.264 0.000 0.000
Re 2.264 2.264 2.264

***

Entry 3:
5
Lattice="4.462 0.000 0.000 0.000 4.462 0.000 0.000 0.000 5.361" Properties=species:S:1:pos:R:3 comment="PBE-GGA BaFeRe2Rh, relaxed" sg="P4/mmm (123)" formation_enthalpy_0k_ev_per_atom=1.648 pbc="T T T"
Ba 0.000 0.000 0.000
Fe 0.000 0.000 2.680
Re 0.000 2.231 2.680
Re 2.231 0.000 2.680
Rh 2.231 2.231 0.000

***

Entry 4:
5
Lattice="5.970 0.000 0.000 0.000 5.970 0.000 0.000 0.000 4.364" Properties=species:S:1:pos:R:3 comment="PBE-GGA Ba2FeReSi, relaxed" sg="P4/mmm (123)" formation_energy_uncorrected_ev_per_atom=0.998 pbc="T T T"
Ba 0.000 2.985 0.000
Ba 2.985 0.000 0.000
Fe 0.000 0.000 0.000
Re 0.000 0.000 2.182
Si 2.985 2.985 2.182

***

Entry 5:
5
Lattice="6.098 0.000 0.000 0.000 6.098 0.000 0.000 0.000 4.387" Properties=species:S:1:pos:R:3 comment="PBE-GGA Ba2FeReSn, relaxed" sg="P4/mmm (123)" formation_enthalpy_0k_ev_per_atom=0.729 de_polymorph_ev_per_atom=0.0000 pbc="T T T"
Ba 0.000 3.049 0.000
Ba 3.049 0.000 0.000
Fe 0.000 0.000 0.000
Re 0.000 0.000 2.193
Sn 3.049 3.049 2.193

***

Entry 6:
5
Lattice="6.549 0.000 0.000 0.000 6.549 0.000 0.000 0.000 4.854" Properties=species:S:1:pos:R:3 comment="PBE-GGA Ba2FeReSn, relaxed" sg="P4/mmm (123)" formation_enthalpy_0k_ev_per_atom=1.397 de_polymorph_ev_per_atom=0.6678 pbc="T T T"
Ba 0.000 3.274 0.000
Ba 3.274 0.000 0.000
Fe 0.000 0.000 2.427
Re 3.274 3.274 2.427
Sn 0.000 0.000 0.000

***

Entry 7:
5
Lattice="5.041 0.000 0.000 0.000 5.041 0.000 0.000 0.000 4.766" Properties=species:S:1:pos:R:3 comment="PBE-GGA BaFeRe2Te, relaxed" sg="P4/mmm (123)" formation_energy_uncorrected_ev_per_atom=1.717 pbc="T T T"
Ba 0.000 0.000 0.000
Fe 2.520 2.520 0.000
Re 0.000 2.520 2.383
Re 2.520 0.000 2.383
Te 2.520 2.520 2.383

***

Entry 8:
5
Lattice="6.263 0.000 0.000 0.000 6.263 0.000 0.000 0.000 4.051" Properties=species:S:1:pos:R:3 comment="PBE-GGA Ba2TiFeRe, relaxed" sg="P4/mmm (123)" formation_enthalpy_0k_ev_per_atom=1.661 pbc="T T T"
Ba 0.000 3.132 0.000
Ba 3.132 0.000 0.000
Ti 0.000 0.000 0.000
Fe 0.000 0.000 2.025
Re 3.132 3.132 2.025

***

Entry 9:
5
Lattice="4.662 0.000 0.000 0.000 4.662 0.000 0.000 0.000 5.175" Properties=species:S:1:pos:R:3 comment="PBE-GGA BaYFeRe2, relaxed" sg="P4/mmm (123)" formation_enthalpy_0k_ev_per_atom=1.221 pbc="T T T"
Ba 0.000 0.000 0.000
Y 2.331 2.331 0.000
Fe 0.000 0.000 2.587
Re 0.000 2.331 2.587
Re 2.331 0.000 2.587

***

Entry 10:
5
Lattice="5.068 0.000 0.000 0.000 5.068 0.000 0.000 0.000 4.840" Properties=species:S:1:pos:R:3 comment="PBE-GGA BaZrFeRe2, relaxed" sg="P4/mmm (123)" formation_enthalpy_0k_ev_per_atom=1.822 pbc="T T T"
Ba 0.000 0.000 0.000
Zr 2.534 2.534 2.420
Fe 2.534 2.534 0.000
Re 0.000 2.534 2.420
Re 2.534 0.000 2.420

***

Entry 11:
6
Lattice="0.000 3.802 3.802 3.802 0.000 3.802 3.802 3.802 0.000" Properties=species:S:1:pos:R:3 comment="PBE-GGA BaFeRh4, relaxed" sg="F-43m (216)" formation_enthalpy_0k_ev_per_atom=0.333 pbc="T T T"
Ba 0.000 0.000 0.000
Fe 5.703 5.703 5.703
Rh 2.860 2.860 2.860
Rh 4.745 4.745 2.860
Rh 4.745 2.860 4.745
Rh 2.860 4.745 4.745

***

Entry 12:
4
Lattice="2.123 1.226 5.759 -2.123 1.226 5.759 0.000 -2.452 5.759" Properties=species:S:1:pos:R:3 comment="PBE-GGA BaFe2Rh, relaxed" sg="R3m (160)" formation_enthalpy_0k_ev_per_atom=0.193 pbc="T T T"
Ba 0.000 0.000 0.000
Fe 0.000 0.000 8.772
Fe 0.000 0.000 14.048
Rh 0.000 0.000 3.189

***

Number 1: V 108.4 Å³/cell. Number 2: V 92.8 Å³/cell. Number 3: V 106.7 Å³/cell. Number 4: V 155.5 Å³/cell. Number 5: V 163.1 Å³/cell. Number 6: V 208.2 Å³/cell. Number 7: V 121.1 Å³/cell. Number 8: V 158.9 Å³/cell. Number 9: V 112.5 Å³/cell. Number 10: V 124.3 Å³/cell. Number 11: V 109.9 Å³/cell. Number 12: V 89.9 Å³/cell.